Record 1
7
Lattice="5.291 0.000 1.653 2.387 4.722 1.653 -0.043 -0.027 9.432" Properties=species:S:1:pos:R:3 comment="La4Tl2Hg | Alexandria | PBE-GGA | relaxed" vol_a3_per_atom=33.73 density_g_cm3=8.2 relative_energy_mev_per_atom=0.0 pbc="T T T"
Tl 5.710 3.512 9.605
Tl 1.925 1.184 3.133
Hg 0.000 0.000 0.000
La 6.678 4.107 6.507
La 0.957 0.588 6.232
La 4.754 2.923 3.372
La 2.881 1.772 9.366

Record 2
5
Lattice="4.569 0.000 0.000 0.000 4.569 0.000 0.000 0.000 4.569" Properties=species:S:1:pos:R:3 comment="NbCu3Pd | Alexandria | PBE-GGA | relaxed" vol_a3_per_atom=19.07 density_g_cm3=6.8 relative_energy_mev_per_atom=0.0 pbc="T T T"
Nb 2.284 2.284 2.284
Cu 0.000 2.284 0.000
Cu 0.000 0.000 2.284
Cu 2.284 0.000 0.000
Pd 0.000 0.000 0.000

Record 3
20
Lattice="-7.033 2.199 0.970 -1.403 -0.708 -8.571 -1.643 -7.256 4.536" Properties=species:S:1:pos:R:3 comment="MgZr6Bi3 | Alexandria | PBE-GGA | relaxed" vol_a3_per_atom=25.68 density_g_cm3=7.7 pbc="T T T"
Mg -2.430 -5.840 2.334
Mg -5.792 -0.506 -5.655
Zr -2.824 -4.847 -3.564
Zr -6.372 -4.620 -1.334
Zr -4.580 -6.810 -0.049
Zr -7.996 -2.963 -5.064
Zr -3.482 -0.402 -7.605
Zr -5.478 -4.304 1.603
Zr -1.848 -2.322 -5.048
Zr -7.213 -5.171 4.625
Zr -2.944 -2.533 2.117
Zr -6.360 1.314 -2.897
Zr -1.653 -1.787 -2.014
Zr -5.202 -1.560 0.216
Bi -5.683 -4.728 -4.195
Bi -9.250 -5.011 -0.944
Bi -3.410 -3.951 -0.655
Bi -6.886 -1.747 -2.380
Bi -7.375 -0.107 1.541
Bi -3.807 0.176 -1.711

Record 4
10
Lattice="-2.805 1.684 2.928 -3.337 -1.972 -2.063 1.333 -9.019 6.465" Properties=species:S:1:pos:R:3 comment="Ac2ThGe3Rh4 | Alexandria | PBE-GGA | relaxed" vol_a3_per_atom=21.55 density_g_cm3=10.1 pbc="T T T"
Ac -1.101 -1.199 2.928
Ac -0.637 -7.963 3.970
Th -2.405 -4.653 3.665
Ge 0.666 -4.509 3.233
Ge -0.227 -7.111 7.165
Ge -1.511 -2.051 -0.268
Rh -3.071 -0.144 0.432
Rh 0.000 0.000 0.000
Rh -0.531 -5.056 5.692
Rh -1.207 -4.107 1.206

| no. | VASP energy (eV per cell) |
| --- | --- |
| 1 | -26.969 |
| 2 | -21.918 |
| 3 | -131.104 |
| 4 | -67.407 |